A relaxed structure of LiPr, computed with GGA-PBE.

abc: 3.798 3.798 3.798
angles: 90.00 90.00 90.00
Atoms (fractional coordinates):
Li: 0.000 0.000 0.000
Pr: 0.500 0.500 0.500

Calculated values
- raw total energy (eV/atom) = -3.198


A relaxed structure of TbY2In3PtAu2, computed with GGA-PBE.

abc: 3.954 7.733 7.733
angles: 120.00 90.00 90.00
Atoms (fractional coordinates):
Tb: 0.000 0.000 0.000
Y: 0.000 0.401 0.802
Y: 0.000 0.802 0.401
In: 0.500 0.145 0.401
In: 0.500 0.401 0.145
In: 0.500 0.658 0.658
Pt: 0.000 0.401 0.401
Au: 0.500 0.068 0.734
Au: 0.500 0.734 0.068

Calculated values
- raw total energy (eV/atom) = -5.106


A relaxed structure of TmPbAuSe3, computed with GGA-PBE.

abc: 10.850 4.105 13.430
angles: 90.00 90.00 90.00
Atoms (fractional coordinates):
Tm: 0.025 0.250 0.244
Tm: 0.475 0.750 0.744
Tm: 0.525 0.250 0.256
Tm: 0.975 0.750 0.756
Pb: 0.228 0.750 0.506
Pb: 0.272 0.250 0.006
Pb: 0.728 0.750 0.994
Pb: 0.772 0.250 0.494
Au: 0.239 0.250 0.701
Au: 0.261 0.750 0.201
Au: 0.739 0.250 0.799
Au: 0.761 0.750 0.299
Se: 0.025 0.250 0.614
Se: 0.064 0.750 0.098
Se: 0.228 0.750 0.836
Se: 0.272 0.250 0.336
Se: 0.436 0.250 0.598
Se: 0.475 0.750 0.114
Se: 0.525 0.250 0.886
Se: 0.564 0.750 0.402
Se: 0.728 0.750 0.664
Se: 0.772 0.250 0.164
Se: 0.936 0.250 0.902
Se: 0.975 0.750 0.386

Calculated values
- raw total energy (eV/atom) = -4.560


A relaxed structure of NpPaTc, computed with GGA-PBE.

abc: 6.299 6.299 6.299
angles: 90.00 90.00 90.00
Atoms (fractional coordinates):
Np: 0.000 0.000 0.000
Np: 0.000 0.500 0.500
Np: 0.500 0.000 0.500
Np: 0.500 0.500 0.000
Pa: 0.250 0.250 0.250
Pa: 0.250 0.750 0.750
Pa: 0.750 0.250 0.750
Pa: 0.750 0.750 0.250
Tc: 0.000 0.000 0.500
Tc: 0.000 0.500 0.000
Tc: 0.500 0.000 0.000
Tc: 0.500 0.500 0.500

Calculated values
- E_form (eV/atom) = 0.42


A relaxed structure of AcTmGa, computed with GGA-PBE.

abc: 7.323 7.323 7.323
angles: 90.00 90.00 90.00
Atoms (fractional coordinates):
Ac: 0.000 0.000 0.000
Ac: 0.000 0.500 0.500
Ac: 0.500 0.000 0.500
Ac: 0.500 0.500 0.000
Tm: 0.000 0.000 0.500
Tm: 0.000 0.500 0.000
Tm: 0.500 0.000 0.000
Tm: 0.500 0.500 0.500
Ga: 0.250 0.250 0.250
Ga: 0.250 0.750 0.750
Ga: 0.750 0.250 0.750
Ga: 0.750 0.750 0.250

Calculated values
- raw total energy (eV/atom) = -4.030


A relaxed structure of Ta3AgSe5, computed with GGA-PBE.

abc: 5.780 5.780 7.620
angles: 90.00 90.00 120.00
Atoms (fractional coordinates):
Ta: 0.000 0.500 0.000
Ta: 0.500 0.000 0.000
Ta: 0.500 0.500 0.000
Ag: 0.000 0.000 0.500
Se: 0.000 0.000 0.000
Se: 0.333 0.667 0.267
Se: 0.333 0.667 0.733
Se: 0.667 0.333 0.267
Se: 0.667 0.333 0.733

Calculated values
- raw total energy (eV/atom) = -6.488